[1]
ZnAuS2F: optimized geometry, PBE.

Computed properties:
Total moment (μB/f.u.): 0.33
Crystal system: tetragonal

Cell lengths 4.4833, 4.4833, 5.2145 Å; angles 90.00, 90.00, 90.00 degrees
With the nearest neighbours (Å) after each atom.
Sites, in units of the cell vectors:
Zn1 0.0000 0.0000 0.0000  4 S 2.24
Au1 0.0000 0.0000 0.5000  2 Zn 2.61
S1 0.0000 0.5000 0.0000  2 Zn 2.24
S2 0.5000 0.0000 0.0000  2 Zn 2.24
F1 0.5000 0.5000 0.5000  4 Au 3.17, 8 S 3.44

***

[2]
SbAu2F8: optimized geometry, PBE.

Computed properties:
Total moment (μB/f.u.): 0.00
Crystal system: monoclinic

Cell lengths 6.5052, 6.5052, 5.9098 Å; angles 93.93, 93.93, 50.06 degrees
With the nearest neighbours (Å) after each atom.
Sites, in units of the cell vectors:
Sb1 0.0000 0.0000 0.0000  6 F 1.90-2.00
Au1 0.2414 0.2414 0.4681  2 F 1.93-2.09
Au2 0.7586 0.7586 0.5319  2 F 1.93-2.09
F1 0.0756 0.0756 0.3152  1 Sb 2.00, 1 Au 2.09
F2 0.1350 0.6582 0.0907  1 Sb 1.90
F3 0.3418 0.8650 0.9093  1 Sb 1.90
F4 0.3921 0.3921 0.6216  1 Au 1.93
F5 0.6079 0.6079 0.3784  1 Au 1.93
F6 0.6582 0.1350 0.0907  1 Sb 1.90
F7 0.8650 0.3418 0.9093  1 Sb 1.90
F8 0.9244 0.9244 0.6848  1 Sb 2.00, 1 Au 2.09

***

[3]
Sb2AuF: optimized geometry, PBE.

Computed properties:
Total moment (μB/f.u.): 0.00
E above lowest polymorph (meV per atom): 0
Crystal system: cubic

Cell lengths 6.7733, 6.7733, 6.7733 Å; angles 90.00, 90.00, 90.00 degrees
With the nearest neighbours (Å) after each atom.
Sites, in units of the cell vectors:
Sb1 0.2500 0.2500 0.2500  4 Au 2.93, 4 F 2.93
Sb2 0.2500 0.2500 0.7500  4 F 2.93, 4 Au 2.93
Sb3 0.2500 0.7500 0.2500  4 F 2.93, 4 Au 2.93
Sb4 0.2500 0.7500 0.7500  4 Au 2.93, 4 F 2.93
Sb5 0.7500 0.2500 0.2500  4 F 2.93, 4 Au 2.93
Sb6 0.7500 0.2500 0.7500  4 Au 2.93, 4 F 2.93
Sb7 0.7500 0.7500 0.2500  4 Au 2.93, 4 F 2.93
Sb8 0.7500 0.7500 0.7500  4 F 2.93, 4 Au 2.93
Au1 0.0000 0.0000 0.0000  8 Sb 2.93
Au2 0.0000 0.5000 0.5000  8 Sb 2.93
Au3 0.5000 0.0000 0.5000  8 Sb 2.93
Au4 0.5000 0.5000 0.0000  8 Sb 2.93
F1 0.0000 0.0000 0.5000  8 Sb 2.93
F2 0.0000 0.5000 0.0000  8 Sb 2.93
F3 0.5000 0.0000 0.0000  8 Sb 2.93
F4 0.5000 0.5000 0.5000  8 Sb 2.93

***

[4]
Sb3AuF: optimized geometry, PBE.

Computed properties:
Total moment (μB/f.u.): 0.00
E above lowest polymorph (meV per atom): 276
Crystal system: cubic

Cell lengths 5.4030, 5.4030, 5.4030 Å; angles 90.00, 90.00, 90.00 degrees
With the nearest neighbours (Å) after each atom.
Sites, in units of the cell vectors:
Sb1 0.0000 0.0000 0.5000  2 Au 2.70
Sb2 0.0000 0.5000 0.0000  2 Au 2.70
Sb3 0.5000 0.0000 0.0000  2 Au 2.70
Au1 0.0000 0.0000 0.0000  6 Sb 2.70
F1 0.5000 0.5000 0.5000  12 Sb 3.82

***

[5]
Sb2Au2F: optimized geometry, PBE.

Computed properties:
Total moment (μB/f.u.): 0.00
E above lowest polymorph (meV per atom): 121
Crystal system: tetragonal

Cell lengths 3.9584, 3.9584, 14.3691 Å; angles 90.00, 90.00, 90.00 degrees
With the nearest neighbours (Å) after each atom.
Sites, in units of the cell vectors:
Sb1 0.0000 0.0000 0.1065  4 Au 2.86, 1 Sb 3.06, 4 F 3.19
Sb2 0.0000 0.0000 0.8935  4 Au 2.86, 1 Sb 3.06, 4 F 3.19
Sb3 0.5000 0.5000 0.3935  4 Au 2.86, 1 Sb 3.06, 4 F 3.19
Sb4 0.5000 0.5000 0.6065  4 Au 2.86, 1 Sb 3.06, 4 F 3.19
Au1 0.0000 0.5000 0.2500  4 Au 2.80, 4 Sb 2.86
Au2 0.0000 0.5000 0.7500  4 Au 2.80, 4 Sb 2.86
Au3 0.5000 0.0000 0.2500  4 Au 2.80, 4 Sb 2.86
Au4 0.5000 0.0000 0.7500  4 Au 2.80, 4 Sb 2.86
F1 0.0000 0.0000 0.5000  8 Sb 3.19
F2 0.5000 0.5000 0.0000  8 Sb 3.19

***

[6]
Sb3Au3F22: optimized geometry, PBE.

Computed properties:
Total moment (μB/f.u.): 0.28
Crystal system: monoclinic

Cell lengths 10.4112, 10.9886, 15.8381 Å; angles 90.00, 94.52, 90.00 degrees
With the nearest neighbours (Å) after each atom.
Sites, in units of the cell vectors:
Sb1 0.0000 0.1194 0.0000  6 F 1.88-2.05
Sb2 0.0000 0.3726 0.4861  6 F 1.89-2.07
Sb3 0.0000 0.6274 0.9861  6 F 1.89-2.07
Sb4 0.0000 0.8806 0.5000  6 F 1.88-2.05
Sb5 0.2801 0.3742 0.7849  6 F 1.89-2.11
Sb6 0.2801 0.6258 0.2849  6 F 1.89-2.11
Sb7 0.2838 0.1306 0.2845  6 F 1.89-2.10
Sb8 0.2838 0.8694 0.7845  6 F 1.89-2.10
Sb9 0.5413 0.3733 0.0802  6 F 1.88-2.02
Sb10 0.5413 0.6267 0.5802  6 F 1.88-2.02
Sb11 0.5515 0.1277 0.5817  6 F 1.88-2.03
Sb12 0.5515 0.8723 0.0817  6 F 1.88-2.03
Au1 0.0170 0.1239 0.7441  4 F 2.04-2.05
Au2 0.0170 0.8761 0.2441  4 F 2.04-2.05
Au3 0.5939 0.1153 0.9194  4 F 2.06-2.15
Au4 0.5939 0.8847 0.4194  4 F 2.06-2.15
Au5 0.5951 0.3855 0.4151  4 F 2.09-2.19
Au6 0.5951 0.6145 0.9151  4 F 2.09-2.19
Au7 0.7765 0.1324 0.2891  4 F 2.04-2.08
Au8 0.7765 0.8676 0.7891  4 F 2.04-2.08
Au9 0.7813 0.3677 0.7873  4 F 2.05-2.10
Au10 0.7813 0.6323 0.2873  4 F 2.05-2.10
Au11 0.9545 0.3746 0.1526  4 F 2.04-2.11
Au12 0.9545 0.6254 0.6526  4 F 2.04-2.11
F1 0.0085 0.0299 0.1032  1 Sb 1.90
F2 0.0085 0.9701 0.6032  1 Sb 1.90
F3 0.0171 0.4652 0.6002  1 Sb 2.07, 1 Au 2.07
F4 0.0171 0.5348 0.1002  1 Sb 2.07, 1 Au 2.07
F5 0.0572 0.2707 0.0684  1 Sb 2.05, 1 Au 2.11
F6 0.0572 0.7293 0.5684  1 Sb 2.05, 1 Au 2.11
F7 0.0577 0.2375 0.5535  1 Sb 1.90
F8 0.0577 0.7625 0.0535  1 Sb 1.90
F9 0.1113 0.0314 0.2856  1 Au 2.05, 1 Sb 2.10
F10 0.1113 0.9686 0.7856  1 Au 2.05, 1 Sb 2.10
F11 0.1129 0.4465 0.7808  1 Sb 1.91
F12 0.1129 0.5535 0.2808  1 Sb 1.91
F13 0.1698 0.4235 0.4710  1 Sb 1.89
F14 0.1698 0.5765 0.9710  1 Sb 1.89
F15 0.1753 0.0907 0.9857  1 Sb 1.88
F16 0.1753 0.9093 0.4857  1 Sb 1.88
F17 0.1758 0.2617 0.2433  1 Sb 1.91
F18 0.1758 0.7383 0.7433  1 Sb 1.91
F19 0.1863 0.2162 0.7355  1 Au 2.05, 1 Sb 2.11
F20 0.1863 0.7838 0.2355  1 Au 2.05, 1 Sb 2.11
F21 0.2498 0.1709 0.3968  1 Sb 1.89
F22 0.2498 0.8291 0.8968  1 Sb 1.89
F23 0.2546 0.3092 0.8930  1 Sb 1.89
F24 0.2546 0.6908 0.3930  1 Sb 1.89
F25 0.2904 0.0727 0.1724  1 Sb 1.89
F26 0.2904 0.9273 0.6724  1 Sb 1.89
F27 0.2913 0.4161 0.6698  1 Sb 1.89
F28 0.2913 0.5839 0.1698  1 Sb 1.89
F29 0.3661 0.3384 0.0891  1 Sb 1.88
F30 0.3661 0.6616 0.5891  1 Sb 1.88
F31 0.3694 0.0140 0.8262  1 Sb 1.91
F32 0.3687 0.4848 0.3284  1 Sb 1.90
F33 0.3687 0.5152 0.8284  1 Sb 1.90
F34 0.3694 0.9860 0.3262  1 Sb 1.91
F35 0.3769 0.1628 0.5922  1 Sb 1.88
F36 0.3769 0.8372 0.0922  1 Sb 1.88
F37 0.4325 0.2782 0.7823  1 Sb 1.91
F38 0.4325 0.7218 0.2823  1 Sb 1.91
F39 0.4382 0.2230 0.2859  1 Sb 1.90
F40 0.4382 0.7770 0.7859  1 Sb 1.90
F41 0.4879 0.4844 0.5070  1 Sb 2.00, 1 Au 2.19
F42 0.4879 0.5156 0.0070  1 Sb 2.00, 1 Au 2.19
F43 0.4895 0.0148 0.0084  1 Sb 2.03, 1 Au 2.15
F44 0.4895 0.9852 0.5084  1 Sb 2.03, 1 Au 2.15
F45 0.5261 0.2817 0.9693  1 Sb 2.02, 1 Au 2.13
F46 0.5261 0.7183 0.4693  1 Sb 2.02, 1 Au 2.13
F47 0.5324 0.2196 0.4715  1 Sb 2.01, 1 Au 2.15
F48 0.5324 0.7804 0.9715  1 Sb 2.01, 1 Au 2.15
F49 0.5596 0.4699 0.1791  1 Sb 1.89
F50 0.5596 0.5301 0.6791  1 Sb 1.89
F51 0.5693 0.0297 0.6804  1 Sb 1.90
F52 0.5693 0.9703 0.1804  1 Sb 1.90
F53 0.6031 0.2274 0.1333  1 Sb 1.90
F54 0.6031 0.7726 0.6333  1 Sb 1.90
F55 0.6156 0.2721 0.6360  1 Sb 1.90
F56 0.6156 0.7279 0.1360  1 Sb 1.90
F57 0.6498 0.4556 0.8553  2 Au 2.05-2.09
F58 0.6498 0.5444 0.3553  2 Au 2.05-2.09
F59 0.6567 0.0423 0.3658  2 Au 2.06
F60 0.6567 0.9577 0.8658  2 Au 2.06
F61 0.6969 0.2923 0.3251  2 Au 2.04-2.11
F62 0.6969 0.7077 0.8251  2 Au 2.04-2.11
F63 0.7020 0.2124 0.8381  2 Au 2.07-2.08
F64 0.7020 0.7876 0.3381  2 Au 2.07-2.08
F65 0.7117 0.4142 0.0527  1 Sb 1.91
F66 0.7117 0.5858 0.5527  1 Sb 1.91
F67 0.7177 0.0819 0.5516  1 Sb 1.90
F68 0.7177 0.9181 0.0516  1 Sb 1.90
F69 0.8268 0.3364 0.5123  1 Sb 1.92
F70 0.8268 0.6636 0.0123  1 Sb 1.92
F71 0.8290 0.1704 0.0206  1 Sb 1.92
F72 0.8290 0.8296 0.5206  1 Sb 1.92
F73 0.8480 0.0305 0.7452  2 Au 2.04-2.08
F74 0.8480 0.9695 0.2452  2 Au 2.04-2.08
F75 0.8506 0.4737 0.2331  2 Au 2.05-2.10
F76 0.8506 0.5263 0.7331  2 Au 2.05-2.10
F77 0.8922 0.2195 0.2069  2 Au 2.04-2.08
F78 0.8922 0.7805 0.7069  2 Au 2.04-2.08
F79 0.9047 0.2717 0.7133  2 Au 2.04-2.09
F80 0.9047 0.7283 0.2133  2 Au 2.04-2.09
F81 0.9327 0.4788 0.9374  1 Sb 1.92
F82 0.9327 0.5212 0.4374  1 Sb 1.92
F83 0.9374 0.0145 0.4322  1 Sb 1.91
F84 0.9374 0.9855 0.9322  1 Sb 1.91
F85 0.9765 0.2857 0.3820  1 Sb 1.90
F86 0.9765 0.7143 0.8820  1 Sb 1.90
F87 0.9866 0.2222 0.9013  1 Sb 1.92
F88 0.9866 0.7778 0.4013  1 Sb 1.92

***

[7]
Sb2Au3F18: optimized geometry, PBE.

Computed properties:
Total moment (μB/f.u.): 0.99
Crystal system: monoclinic

Cell lengths 9.5120, 8.7700, 10.5707 Å; angles 90.00, 121.63, 90.00 degrees
With the nearest neighbours (Å) after each atom.
Sites, in units of the cell vectors:
Sb1 0.1435 0.1251 0.3615  6 F 1.89-2.09
Sb2 0.1435 0.3749 0.8615  6 F 1.89-2.09
Sb3 0.8565 0.6251 0.1385  6 F 1.89-2.09
Sb4 0.8565 0.8749 0.6385  6 F 1.89-2.09
Au1 0.3485 0.6658 0.7264  4 F 1.92-2.04
Au2 0.3485 0.8342 0.2264  4 F 1.92-2.04
Au3 0.5000 0.0000 0.0000  4 F 2.14-2.15
Au4 0.5000 0.5000 0.5000  4 F 2.14-2.15
Au5 0.6515 0.1658 0.7736  4 F 1.92-2.04
Au6 0.6515 0.3342 0.2736  4 F 1.92-2.04
F1 0.0045 0.7409 0.6248  1 Sb 1.90
F2 0.0045 0.7591 0.1248  1 Sb 1.90
F3 0.0146 0.0986 0.1527  1 Sb 1.89
F4 0.0146 0.4014 0.6527  1 Sb 1.89
F5 0.0545 0.5538 0.8925  1 Sb 1.89
F6 0.0545 0.9462 0.3925  1 Sb 1.89
F7 0.2627 0.2133 0.8364  1 Sb 1.92
F8 0.2627 0.2867 0.3364  1 Sb 1.92
F9 0.3066 0.1356 0.5692  1 Sb 1.91
F10 0.3066 0.3644 0.0692  1 Sb 1.91
F11 0.3183 0.5170 0.8582  1 Au 2.04, 1 Sb 2.09
F12 0.3183 0.9830 0.3582  1 Au 2.04, 1 Sb 2.09
F13 0.3288 0.6578 0.3368  2 Au 2.00-2.14
F14 0.3288 0.8422 0.8368  2 Au 2.00-2.14
F15 0.3633 0.0068 0.1102  2 Au 2.00-2.15
F16 0.3633 0.4932 0.6102  2 Au 2.00-2.15
F17 0.3964 0.6980 0.1118  1 Au 1.92
F18 0.3964 0.8020 0.6118  1 Au 1.92
F19 0.6036 0.1980 0.3882  1 Au 1.92
F20 0.6036 0.3020 0.8882  1 Au 1.92
F21 0.6367 0.5068 0.3898  2 Au 2.00-2.15
F22 0.6367 0.9932 0.8898  2 Au 2.00-2.15
F23 0.6712 0.1578 0.1632  2 Au 2.00-2.14
F24 0.6712 0.3422 0.6632  2 Au 2.00-2.14
F25 0.6817 0.0170 0.6418  1 Au 2.04, 1 Sb 2.09
F26 0.6817 0.4830 0.1418  1 Au 2.04, 1 Sb 2.09
F27 0.6934 0.6356 0.9308  1 Sb 1.91
F28 0.6934 0.8644 0.4308  1 Sb 1.91
F29 0.7373 0.7133 0.6636  1 Sb 1.92
F30 0.7373 0.7867 0.1636  1 Sb 1.92
F31 0.9455 0.0538 0.6075  1 Sb 1.89
F32 0.9455 0.4462 0.1075  1 Sb 1.89
F33 0.9854 0.5986 0.3473  1 Sb 1.89
F34 0.9854 0.9014 0.8473  1 Sb 1.89
F35 0.9955 0.2409 0.8752  1 Sb 1.90
F36 0.9955 0.2591 0.3752  1 Sb 1.90

***

[8]
Sb3AuF: optimized geometry, PBE.

Computed properties:
Total moment (μB/f.u.): 0.00
E above lowest polymorph (meV per atom): 0
Crystal system: cubic

Cell lengths 4.9103, 4.9103, 4.9103 Å; angles 90.00, 90.00, 90.00 degrees
With the nearest neighbours (Å) after each atom.
Sites, in units of the cell vectors:
Sb1 0.0000 0.0000 0.5000  2 F 2.46
Sb2 0.0000 0.5000 0.0000  2 F 2.46
Sb3 0.5000 0.0000 0.0000  2 F 2.46
Au1 0.5000 0.5000 0.5000  12 Sb 3.47
F1 0.0000 0.0000 0.0000  6 Sb 2.46

***

[9]
Sb2AuF: optimized geometry, PBE.

Computed properties:
Total moment (μB/f.u.): 0.00
E above lowest polymorph (meV per atom): 131
Crystal system: tetragonal

Cell lengths 4.7308, 4.7308, 16.6189 Å; angles 90.00, 90.00, 90.00 degrees
With the nearest neighbours (Å) after each atom.
Sites, in units of the cell vectors:
Sb1 0.1977 0.2500 0.1250  2 F 2.57, 2 Au 2.79
Sb2 0.2500 0.6977 0.3750  2 F 2.57, 2 Au 2.79
Sb3 0.2500 0.8023 0.8750  2 F 2.57, 2 Au 2.79
Sb4 0.3023 0.2500 0.6250  2 F 2.57, 2 Au 2.79
Sb5 0.6977 0.7500 0.6250  2 F 2.57, 2 Au 2.79
Sb6 0.7500 0.1977 0.8750  2 F 2.57, 2 Au 2.79
Sb7 0.7500 0.3023 0.3750  2 F 2.57, 2 Au 2.79
Sb8 0.8023 0.7500 0.1250  2 F 2.57, 2 Au 2.79
Au1 0.0000 0.0000 0.5000  4 Sb 2.79
Au2 0.0000 0.5000 0.7500  4 Sb 2.79
Au3 0.5000 0.0000 0.2500  4 Sb 2.79
Au4 0.5000 0.5000 0.0000  4 Sb 2.79
F1 0.0000 0.0000 0.0000  4 Sb 2.57
F2 0.0000 0.5000 0.2500  4 Sb 2.57
F3 0.5000 0.0000 0.7500  4 Sb 2.57
F4 0.5000 0.5000 0.5000  4 Sb 2.57

***

[10]
Sb2Au2F: optimized geometry, PBE.

Computed properties:
Total moment (μB/f.u.): 0.00
E above lowest polymorph (meV per atom): 0
Crystal system: tetragonal

Cell lengths 7.1014, 7.1014, 4.2089 Å; angles 90.00, 90.00, 90.00 degrees
With the nearest neighbours (Å) after each atom.
Sites, in units of the cell vectors:
Sb1 0.1783 0.3217 0.0000  2 F 2.61, 2 Au 2.78
Sb2 0.3217 0.8217 0.0000  2 F 2.61, 2 Au 2.78
Sb3 0.6783 0.1783 0.0000  2 F 2.61, 2 Au 2.78
Sb4 0.8217 0.6783 0.0000  2 F 2.61, 2 Au 2.78
Au1 0.1414 0.6414 0.5000  6 Sb 2.78-3.11, 1 Au 2.84
Au2 0.3586 0.1414 0.5000  6 Sb 2.78-3.11, 1 Au 2.84
Au3 0.6414 0.8586 0.5000  6 Sb 2.78-3.11, 1 Au 2.84
Au4 0.8586 0.3586 0.5000  6 Sb 2.78-3.11, 1 Au 2.84
F1 0.0000 0.0000 0.0000  4 Sb 2.61
F2 0.5000 0.5000 0.0000  4 Sb 2.61

***

| no. | formation energy without anion corrections (meV/atom) |
| --- | --- |
| 1 | 479.3 |
| 2 | -1534.4 |
| 3 | -583.9 |
| 4 | 383.5 |
| 5 | -269.8 |
| 6 | -1785.4 |
| 7 | -1639.1 |
| 8 | 107.3 |
| 9 | -453.1 |
| 10 | -391.1 |